Density functional theory data (PBE-GGA) for a geometry-optimized Ho4Br3NCl2 structure.

a = 8.639 Å, b = 8.639 Å, c = 7.995 Å
α = 103.19°, β = 103.19°, γ = 24.65°
Sites, in units of the cell vectors:
Br1 0.168 0.168 0.346
Br2 0.500 0.500 0.500
Br3 0.832 0.832 0.654
Cl1 0.830 0.830 0.161
Cl2 0.170 0.170 0.839
Ho1 0.641 0.641 0.071
Ho2 0.998 0.998 0.198
Ho3 0.002 0.002 0.802
Ho4 0.359 0.359 0.929
N1 0.500 0.500 0.000

Calculated values
M_tot: 0.000 μB/atom
E_tot: -52.13 eV for the cell shown


Density functional theory data (PBE-GGA) for a geometry-optimized Ho2BrNCl2 structure.

a = 9.284 Å, b = 9.284 Å, c = 11.413 Å
α = 125.47°, β = 125.47°, γ = 23.68°
Sites, in units of the cell vectors:
Br1 0.781 0.781 0.379
Br2 0.219 0.219 0.621
Cl1 0.674 0.674 0.006
Cl2 0.029 0.029 0.254
Cl3 0.971 0.971 0.746
Cl4 0.326 0.326 0.994
Ho1 0.860 0.860 0.209
Ho2 0.573 0.573 0.457
Ho3 0.427 0.427 0.543
Ho4 0.140 0.140 0.791
N1 0.422 0.422 0.344
N2 0.578 0.578 0.656

Calculated values
M_tot: 0.001 μB/atom
E_tot: -70.07 eV for the cell shown


Density functional theory data (PBE-GGA) for a geometry-optimized SmHoBrNCl2 structure.

a = 8.629 Å, b = 8.629 Å, c = 10.766 Å
α = 120.90°, β = 120.90°, γ = 25.96°
Sites, in units of the cell vectors:
Br1 0.043 0.043 0.222
Br2 0.957 0.957 0.778
Cl1 0.672 0.672 0.016
Cl2 0.782 0.782 0.383
Cl3 0.218 0.218 0.617
Cl4 0.328 0.328 0.984
Ho1 0.863 0.863 0.205
Ho2 0.137 0.137 0.795
N1 0.423 0.423 0.338
N2 0.577 0.577 0.662
Sm1 0.584 0.584 0.453
Sm2 0.416 0.416 0.547

Calculated values
M_tot: 0.000 μB/atom
E_tot: -69.95 eV for the cell shown


Density functional theory data (PBE-GGA) for a geometry-optimized SmHoBrNCl2 structure.

a = 8.386 Å, b = 8.386 Å, c = 10.864 Å
α = 119.69°, β = 119.69°, γ = 26.88°
Sites, in units of the cell vectors:
Br1 0.660 0.660 0.016
Br2 0.340 0.340 0.984
Cl1 0.045 0.045 0.246
Cl2 0.777 0.777 0.386
Cl3 0.223 0.223 0.614
Cl4 0.955 0.955 0.754
Ho1 0.865 0.865 0.214
Ho2 0.135 0.135 0.786
N1 0.423 0.423 0.343
N2 0.577 0.577 0.657
Sm1 0.587 0.587 0.453
Sm2 0.413 0.413 0.547

Calculated values
M_tot: 0.001 μB/atom
E_tot: -70.04 eV for the cell shown


Which of these has the highest E_tot?
Ho4Br3NCl2